Run a
PBE PuScAu, optimized geometry; Fermi-level density of states = 22.8 states/eV/cell; SG = No. 62
1.0
3.428 0.000 0.000
0.000 9.057 0.000
0.000 0.000 8.275
Pu Au Sc
4 4 4
Direct
0.750 0.585 0.485
0.250 0.085 0.015
0.250 0.415 0.515
0.750 0.915 0.985
0.750 0.158 0.683
0.250 0.842 0.317
0.750 0.342 0.183
0.250 0.658 0.817
0.750 0.420 0.852
0.250 0.920 0.648
0.750 0.080 0.352
0.250 0.580 0.148


Run b
PBE PuScAu, optimized geometry; Fermi-level density of states = 7.4 states/eV/cell; SG = No. 107
1.0
3.430 0.000 0.000
0.000 3.430 0.000
-1.715 -1.715 5.989
Au Sc Pu
1 1 1
Direct
0.685 0.685 0.369
0.307 0.307 0.615
0.008 0.008 0.016


Which of them is the least stable? Correct choice: run a.